## SiAgOF2 (SCAN)

Data for SiAgOF2 at its PBEsol-relaxed geometry.

Unit cell a=4.181 b=4.181 c=4.077 alpha=90.00 beta=90.00 gamma=90.00
Space group P4/mmm (No. 123)
Asymmetric unit:
Si 0.000 0.000 0.000
Ag 0.500 0.500 0.500
O 0.500 0.500 0.000
F 0.000 0.500 0.500

Summary:
* N(E_F): 0.289 states/eV per atom
* raw total energy: -11.2731 eV/atom

=====

## SiAgO2F (SCAN)

Data for SiAgO2F at its PBEsol-relaxed geometry.

Unit cell a=3.498 b=3.498 c=3.943 alpha=90.00 beta=90.00 gamma=90.00
Space group P4/mmm (No. 123)
Asymmetric unit:
Si 0.000 0.000 0.000
Ag 0.500 0.500 0.500
O 0.000 0.500 0.000
F 0.000 0.000 0.500

Summary:
* N(E_F): 0.000 states/eV per atom
* raw total energy: -13.3009 eV/atom

=====

## SrAgO2F (SCAN)

Data for SrAgO2F at its PBEsol-relaxed geometry.

Unit cell a=4.042 b=4.042 c=4.232 alpha=90.00 beta=90.00 gamma=90.00
Space group P4/mmm (No. 123)
Asymmetric unit:
Sr 0.000 0.000 0.000
Ag 0.500 0.500 0.500
O 0.000 0.500 0.500
F 0.500 0.500 0.000

Summary:
* N(E_F): 0.162 states/eV per atom
* raw total energy: -15.6078 eV/atom

=====

## VAgOF4 (SCAN)

Data for VAgOF4 at its PBEsol-relaxed geometry.

Unit cell a=5.566 b=5.097 c=13.675 alpha=90.00 beta=99.58 gamma=90.00
Space group P2_1/c (No. 14)
Asymmetric unit:
V 0.168 0.115 0.354
Ag 0.360 0.132 0.120
O 0.334 0.616 0.907
F 0.077 0.523 0.727
F 0.127 0.535 0.119
F 0.202 0.136 0.950
F 0.393 0.200 0.797

Summary:
* raw total energy: -12.2864 eV/atom

=====

## VAg2O3F (SCAN)

Data for VAg2O3F at its PBEsol-relaxed geometry.

Unit cell a=5.543 b=10.261 c=13.620 alpha=90.00 beta=113.53 gamma=90.00
Space group P2_1/c (No. 14)
Asymmetric unit:
V 0.004 0.019 0.286
V 0.223 0.737 0.415
Ag 0.074 0.192 0.910
Ag 0.304 0.045 0.565
Ag 0.365 0.025 0.081
Ag 0.464 0.247 0.272
O 0.015 0.152 0.189
O 0.114 0.604 0.908
O 0.185 0.606 0.167
O 0.216 0.083 0.802
O 0.245 0.669 0.534
O 0.481 0.226 0.098
F 0.305 0.554 0.758
F 0.328 0.119 0.398

Summary:
* raw total energy: -16.2957 eV/atom

=====

## AgWOF2 (SCAN)

Data for AgWOF2 at its PBEsol-relaxed geometry.

Unit cell a=4.159 b=4.159 c=4.147 alpha=90.00 beta=90.00 gamma=90.00
Space group P4/mmm (No. 123)
Asymmetric unit:
Ag 0.000 0.000 0.000
W 0.500 0.500 0.500
O 0.000 0.000 0.500
F 0.000 0.500 0.000

Summary:
* N(E_F): 0.602 states/eV per atom
* raw total energy: -22.4557 eV/atom

=====

## ZnAgOF2 (SCAN)

Data for ZnAgOF2 at its PBEsol-relaxed geometry.

Unit cell a=4.147 b=4.147 c=4.060 alpha=90.00 beta=90.00 gamma=90.00
Space group P4/mmm (No. 123)
Asymmetric unit:
Zn 0.000 0.000 0.000
Ag 0.500 0.500 0.500
O 0.500 0.500 0.000
F 0.000 0.500 0.500

Summary:
* N(E_F): 0.360 states/eV per atom
* raw total energy: -12.1948 eV/atom

=====

## ZrAgOF2 (SCAN)

Data for ZrAgOF2 at its PBEsol-relaxed geometry.

Unit cell a=4.252 b=4.252 c=4.027 alpha=90.00 beta=90.00 gamma=90.00
Space group P4/mmm (No. 123)
Asymmetric unit:
Zr 0.000 0.000 0.000
Ag 0.500 0.500 0.500
O 0.000 0.000 0.500
F 0.000 0.500 0.000

Summary:
* N(E_F): 0.406 states/eV per atom
* raw total energy: -17.5536 eV/atom